(1)
! CaHfSe3, relaxed, DFT PBE-GGA; values from VASP
! VASP energy in eV per cell: -21.6
! ΔE_f (raw) in eV per atom: 0.16
&SYSTEM
  ibrav = 0, nat = 5, ntyp = 3
/
ATOMIC_SPECIES
Ca 40.08 Ca.upf
Hf 178.49 Hf.upf
Se 78.96 Se.upf
ATOMIC_POSITIONS crystal
Ca 0.000 0.000 0.000
Hf 0.500 0.500 0.500
Se 0.000 0.000 0.500
Se 0.000 0.500 0.000
Se 0.500 0.000 0.000
CELL_PARAMETERS angstrom
5.216 0.000 0.000
0.000 5.216 0.000
0.000 0.000 5.216

(2)
! Ca3HfSe, relaxed, DFT PBE-GGA; values from VASP
! VASP energy in eV per cell: -19.8
! ΔE_f (raw) in eV per atom: -0.07
&SYSTEM
  ibrav = 0, nat = 5, ntyp = 3
/
ATOMIC_SPECIES
Ca 40.08 Ca.upf
Hf 178.49 Hf.upf
Se 78.96 Se.upf
ATOMIC_POSITIONS crystal
Ca 0.000 0.000 0.500
Ca 0.000 0.500 0.000
Ca 0.500 0.000 0.000
Hf 0.500 0.500 0.500
Se 0.000 0.000 0.000
CELL_PARAMETERS angstrom
5.550 0.000 0.000
0.000 5.550 0.000
0.000 0.000 5.550

(3)
! Ca2HfSe2, relaxed, DFT PBE-GGA; values from VASP
! VASP energy in eV per cell: -44.7
! ΔE_f (raw) in eV per atom: -0.28
&SYSTEM
  ibrav = 0, nat = 10, ntyp = 3
/
ATOMIC_SPECIES
Ca 40.08 Ca.upf
Hf 178.49 Hf.upf
Se 78.96 Se.upf
ATOMIC_POSITIONS crystal
Ca 0.000 0.500 0.250
Ca 0.000 0.500 0.750
Ca 0.500 0.000 0.250
Ca 0.500 0.000 0.750
Hf 0.000 0.000 0.000
Hf 0.500 0.500 0.500
Se 0.000 0.000 0.393
Se 0.000 0.000 0.607
Se 0.500 0.500 0.107
Se 0.500 0.500 0.893
CELL_PARAMETERS angstrom
4.252 0.000 0.000
0.000 4.252 0.000
0.000 0.000 13.426

(4)
! CaHf4Se8, relaxed, DFT PBE-GGA; values from VASP
! VASP energy in eV per cell: -88.4
! ΔE_f (raw) in eV per atom: -1.44
&SYSTEM
  ibrav = 0, nat = 13, ntyp = 3
/
ATOMIC_SPECIES
Ca 40.08 Ca.upf
Hf 178.49 Hf.upf
Se 78.96 Se.upf
ATOMIC_POSITIONS crystal
Ca 0.000 0.000 0.000
Hf 0.000 0.000 0.500
Hf 0.000 0.500 0.000
Hf 0.500 0.000 0.000
Hf 0.500 0.500 0.500
Se 0.241 0.241 0.241
Se 0.248 0.740 0.740
Se 0.260 0.260 0.752
Se 0.260 0.752 0.260
Se 0.740 0.248 0.740
Se 0.740 0.740 0.248
Se 0.752 0.260 0.260
Se 0.759 0.759 0.759
CELL_PARAMETERS angstrom
3.754 2.167 7.049
-3.754 2.167 7.049
0.000 -4.335 7.049

(5)
! CaHfSe3, relaxed, DFT PBE-GGA; values from VASP
! VASP energy in eV per cell: -28.6
! ΔE_f (raw) in eV per atom: -1.24
&SYSTEM
  ibrav = 0, nat = 5, ntyp = 3
/
ATOMIC_SPECIES
Ca 40.08 Ca.upf
Hf 178.49 Hf.upf
Se 78.96 Se.upf
ATOMIC_POSITIONS crystal
Ca 0.000 0.000 0.000
Hf 0.500 0.500 0.500
Se 0.000 0.500 0.500
Se 0.500 0.000 0.500
Se 0.500 0.500 0.000
CELL_PARAMETERS angstrom
5.186 0.000 0.000
0.000 5.186 0.000
0.000 0.000 5.186

(6)
! CaHf2Se, relaxed, DFT PBE-GGA; values from VASP
! VASP energy in eV per cell: -96.7
! ΔE_f (raw) in eV per atom: 0.31
&SYSTEM
  ibrav = 0, nat = 16, ntyp = 3
/
ATOMIC_SPECIES
Ca 40.08 Ca.upf
Hf 178.49 Hf.upf
Se 78.96 Se.upf
ATOMIC_POSITIONS crystal
Ca 0.000 0.000 0.000
Ca 0.000 0.500 0.250
Ca 0.500 0.000 0.750
Ca 0.500 0.500 0.500
Hf 0.038 0.250 0.625
Hf 0.250 0.538 0.875
Hf 0.250 0.962 0.375
Hf 0.462 0.250 0.125
Hf 0.538 0.750 0.125
Hf 0.750 0.038 0.375
Hf 0.750 0.462 0.875
Hf 0.962 0.750 0.625
Se 0.000 0.000 0.500
Se 0.000 0.500 0.750
Se 0.500 0.000 0.250
Se 0.500 0.500 0.000
CELL_PARAMETERS angstrom
5.100 0.000 0.000
0.000 5.100 0.000
0.000 0.000 19.115

(7)
! Ca2HfSe4, relaxed, DFT PBE-GGA; values from VASP
! VASP energy in eV per cell: -79.4
! ΔE_f (raw) in eV per atom: -1.68
&SYSTEM
  ibrav = 0, nat = 14, ntyp = 3
/
ATOMIC_SPECIES
Ca 40.08 Ca.upf
Hf 178.49 Hf.upf
Se 78.96 Se.upf
ATOMIC_POSITIONS crystal
Ca 0.101 0.183 0.000
Ca 0.399 0.683 0.000
Ca 0.601 0.317 0.000
Ca 0.899 0.817 0.000
Hf 0.000 0.500 0.500
Hf 0.500 0.000 0.500
Se 0.116 0.705 0.500
Se 0.238 0.455 0.000
Se 0.262 0.955 0.000
Se 0.384 0.205 0.500
Se 0.616 0.795 0.500
Se 0.738 0.045 0.000
Se 0.762 0.545 0.000
Se 0.884 0.295 0.500
CELL_PARAMETERS angstrom
7.375 0.000 0.000
0.000 12.320 0.000
0.000 0.000 4.038

(8)
! CaHf4Se8, relaxed, DFT PBE-GGA; values from VASP
! VASP energy in eV per cell: -87.0
! ΔE_f (raw) in eV per atom: -1.33
&SYSTEM
  ibrav = 0, nat = 13, ntyp = 3
/
ATOMIC_SPECIES
Ca 40.08 Ca.upf
Hf 178.49 Hf.upf
Se 78.96 Se.upf
ATOMIC_POSITIONS crystal
Ca 0.000 0.000 0.000
Hf 0.149 0.617 0.617
Hf 0.617 0.149 0.617
Hf 0.617 0.617 0.149
Hf 0.617 0.617 0.617
Se 0.378 0.378 0.378
Se 0.378 0.378 0.865
Se 0.378 0.865 0.378
Se 0.419 0.860 0.860
Se 0.860 0.419 0.860
Se 0.860 0.860 0.419
Se 0.860 0.860 0.860
Se 0.865 0.378 0.378
CELL_PARAMETERS angstrom
0.000 5.613 5.613
5.613 0.000 5.613
5.613 5.613 0.000

(9)
! Ca2HfSe2, relaxed, DFT PBE-GGA; values from VASP
! VASP energy in eV per cell: -52.3
! ΔE_f (raw) in eV per atom: -1.04
&SYSTEM
  ibrav = 0, nat = 10, ntyp = 3
/
ATOMIC_SPECIES
Ca 40.08 Ca.upf
Hf 178.49 Hf.upf
Se 78.96 Se.upf
ATOMIC_POSITIONS crystal
Ca 0.152 0.348 0.000
Ca 0.348 0.848 0.000
Ca 0.652 0.152 0.000
Ca 0.848 0.652 0.000
Hf 0.000 0.000 0.500
Hf 0.500 0.500 0.500
Se 0.160 0.660 0.500
Se 0.340 0.160 0.500
Se 0.660 0.840 0.500
Se 0.840 0.340 0.500
CELL_PARAMETERS angstrom
7.702 0.000 0.000
0.000 7.702 0.000
0.000 0.000 3.948

(10)
! CaHf2TeSe, relaxed, DFT PBE-GGA; values from VASP
! VASP energy in eV per cell: -23.1
! ΔE_f (raw) in eV per atom: 1.10
&SYSTEM
  ibrav = 0, nat = 5, ntyp = 4
/
ATOMIC_SPECIES
Ca 40.08 Ca.upf
Hf 178.49 Hf.upf
Te 127.60 Te.upf
Se 78.96 Se.upf
ATOMIC_POSITIONS crystal
Ca 0.000 0.000 0.000
Hf 0.000 0.500 0.000
Hf 0.500 0.000 0.000
Te 0.500 0.500 0.500
Se 0.000 0.000 0.500
CELL_PARAMETERS angstrom
5.444 0.000 0.000
0.000 5.444 0.000
0.000 0.000 4.932

(11)
! Ca2HfTl3Se6, relaxed, DFT PBE-GGA; values from VASP
! VASP energy in eV per cell: -55.7
! ΔE_f (raw) in eV per atom: -1.14
&SYSTEM
  ibrav = 0, nat = 12, ntyp = 4
/
ATOMIC_SPECIES
Ca 40.08 Ca.upf
Hf 178.49 Hf.upf
Tl 204.38 Tl.upf
Se 78.96 Se.upf
ATOMIC_POSITIONS crystal
Ca 0.165 0.835 0.000
Ca 0.835 0.165 0.000
Hf 0.500 0.500 0.000
Tl 0.000 0.000 0.500
Tl 0.331 0.669 0.500
Tl 0.669 0.331 0.500
Se 0.125 0.430 0.794
Se 0.266 0.266 0.212
Se 0.430 0.125 0.794
Se 0.570 0.875 0.206
Se 0.734 0.734 0.788
Se 0.875 0.570 0.206
CELL_PARAMETERS angstrom
3.645 -6.313 0.000
3.645 6.313 0.000
-2.465 0.000 7.385

(12)
! Ca3HfSi, relaxed, DFT PBE-GGA; values from VASP
! VASP energy in eV per cell: -18.7
! ΔE_f (raw) in eV per atom: 0.54
&SYSTEM
  ibrav = 0, nat = 5, ntyp = 3
/
ATOMIC_SPECIES
Ca 40.08 Ca.upf
Hf 178.49 Hf.upf
Si 28.09 Si.upf
ATOMIC_POSITIONS crystal
Ca 0.000 0.000 0.500
Ca 0.000 0.500 0.000
Ca 0.500 0.000 0.000
Hf 0.500 0.500 0.500
Si 0.000 0.000 0.000
CELL_PARAMETERS angstrom
5.601 0.000 0.000
0.000 5.601 0.000
0.000 0.000 5.601

(13)
! CaHf3Si, relaxed, DFT PBE-GGA; values from VASP
! VASP energy in eV per cell: -27.4
! ΔE_f (raw) in eV per atom: 1.97
&SYSTEM
  ibrav = 0, nat = 5, ntyp = 3
/
ATOMIC_SPECIES
Ca 40.08 Ca.upf
Hf 178.49 Hf.upf
Si 28.09 Si.upf
ATOMIC_POSITIONS crystal
Ca 0.000 0.000 0.000
Hf 0.000 0.000 0.500
Hf 0.000 0.500 0.000
Hf 0.500 0.000 0.000
Si 0.500 0.500 0.500
CELL_PARAMETERS angstrom
4.954 0.000 0.000
0.000 4.954 0.000
0.000 0.000 4.954

(14)
! CaHfSi3, relaxed, DFT PBE-GGA; values from VASP
! VASP energy in eV per cell: -27.3
! ΔE_f (raw) in eV per atom: 0.19
&SYSTEM
  ibrav = 0, nat = 5, ntyp = 3
/
ATOMIC_SPECIES
Ca 40.08 Ca.upf
Hf 178.49 Hf.upf
Si 28.09 Si.upf
ATOMIC_POSITIONS crystal
Ca 0.000 0.000 0.000
Hf 0.500 0.500 0.500
Si 0.000 0.500 0.500
Si 0.500 0.000 0.500
Si 0.500 0.500 0.000
CELL_PARAMETERS angstrom
5.042 0.000 0.000
0.000 5.042 0.000
0.000 0.000 5.042

(15)
! Ca2HfSi, relaxed, DFT PBE-GGA; values from VASP
! VASP energy in eV per cell: -71.5
! ΔE_f (raw) in eV per atom: 0.38
&SYSTEM
  ibrav = 0, nat = 16, ntyp = 3
/
ATOMIC_SPECIES
Ca 40.08 Ca.upf
Hf 178.49 Hf.upf
Si 28.09 Si.upf
ATOMIC_POSITIONS crystal
Ca 0.132 0.750 0.125
Ca 0.250 0.132 0.875
Ca 0.250 0.368 0.375
Ca 0.368 0.750 0.625
Ca 0.632 0.250 0.625
Ca 0.750 0.632 0.375
Ca 0.750 0.868 0.875
Ca 0.868 0.250 0.125
Hf 0.000 0.000 0.500
Hf 0.000 0.500 0.750
Hf 0.500 0.000 0.250
Hf 0.500 0.500 0.000
Si 0.000 0.000 0.000
Si 0.000 0.500 0.250
Si 0.500 0.000 0.750
Si 0.500 0.500 0.500
CELL_PARAMETERS angstrom
9.936 0.000 0.000
0.000 9.936 0.000
0.000 0.000 5.257

(16)
! CaHf2Si2, relaxed, DFT PBE-GGA; values from VASP
! VASP energy in eV per cell: -69.7
! ΔE_f (raw) in eV per atom: -0.42
&SYSTEM
  ibrav = 0, nat = 10, ntyp = 3
/
ATOMIC_SPECIES
Ca 40.08 Ca.upf
Hf 178.49 Hf.upf
Si 28.09 Si.upf
ATOMIC_POSITIONS crystal
Ca 0.000 0.000 0.000
Ca 0.500 0.500 0.500
Hf 0.000 0.500 0.250
Hf 0.000 0.500 0.750
Hf 0.500 0.000 0.250
Hf 0.500 0.000 0.750
Si 0.000 0.000 0.392
Si 0.000 0.000 0.608
Si 0.500 0.500 0.108
Si 0.500 0.500 0.892
CELL_PARAMETERS angstrom
4.357 0.000 0.000
0.000 4.357 0.000
0.000 0.000 11.589

(17)
! CaHf3Si, relaxed, DFT PBE-GGA; values from VASP
! VASP energy in eV per cell: -36.0
! ΔE_f (raw) in eV per atom: 0.25
&SYSTEM
  ibrav = 0, nat = 5, ntyp = 3
/
ATOMIC_SPECIES
Ca 40.08 Ca.upf
Hf 178.49 Hf.upf
Si 28.09 Si.upf
ATOMIC_POSITIONS crystal
Ca 0.000 0.000 0.000
Hf 0.000 0.500 0.500
Hf 0.500 0.000 0.500
Hf 0.500 0.500 0.000
Si 0.500 0.500 0.500
CELL_PARAMETERS angstrom
5.049 0.000 0.000
0.000 5.049 0.000
0.000 0.000 5.049

(18)
! CaHfSi3, relaxed, DFT PBE-GGA; values from VASP
! VASP energy in eV per cell: -21.0
! ΔE_f (raw) in eV per atom: 1.44
&SYSTEM
  ibrav = 0, nat = 5, ntyp = 3
/
ATOMIC_SPECIES
Ca 40.08 Ca.upf
Hf 178.49 Hf.upf
Si 28.09 Si.upf
ATOMIC_POSITIONS crystal
Ca 0.000 0.000 0.000
Hf 0.500 0.500 0.500
Si 0.000 0.000 0.500
Si 0.000 0.500 0.000
Si 0.500 0.000 0.000
CELL_PARAMETERS angstrom
4.911 0.000 0.000
0.000 4.911 0.000
0.000 0.000 4.911

(19)
! Ca3HfSi, relaxed, DFT PBE-GGA; values from VASP
! VASP energy in eV per cell: -15.1
! ΔE_f (raw) in eV per atom: 1.27
&SYSTEM
  ibrav = 0, nat = 5, ntyp = 3
/
ATOMIC_SPECIES
Ca 40.08 Ca.upf
Hf 178.49 Hf.upf
Si 28.09 Si.upf
ATOMIC_POSITIONS crystal
Ca 0.000 0.000 0.500
Ca 0.000 0.500 0.000
Ca 0.500 0.000 0.000
Hf 0.000 0.000 0.000
Si 0.500 0.500 0.500
CELL_PARAMETERS angstrom
5.629 0.000 0.000
0.000 5.629 0.000
0.000 0.000 5.629

(20)
! Ca2HfSi2, relaxed, DFT PBE-GGA; values from VASP
! VASP energy in eV per cell: -53.0
! ΔE_f (raw) in eV per atom: -0.34
&SYSTEM
  ibrav = 0, nat = 10, ntyp = 3
/
ATOMIC_SPECIES
Ca 40.08 Ca.upf
Hf 178.49 Hf.upf
Si 28.09 Si.upf
ATOMIC_POSITIONS crystal
Ca 0.175 0.325 0.000
Ca 0.325 0.825 0.000
Ca 0.675 0.175 0.000
Ca 0.825 0.675 0.000
Hf 0.000 0.000 0.500
Hf 0.500 0.500 0.500
Si 0.123 0.623 0.500
Si 0.377 0.123 0.500
Si 0.623 0.877 0.500
Si 0.877 0.377 0.500
CELL_PARAMETERS angstrom
7.100 0.000 0.000
0.000 7.100 0.000
0.000 0.000 4.634